1.
12
Lattice="6.420 0.000 0.000 -0.016 7.412 0.000 -0.001 -0.057 9.063" Properties=species:S:1:pos:R:3 comment="La5Pr4Sm3 (GGA-PBE, optimized geometry)" final_energy_ev_per_atom=-4.812 sg="P-1 (2)" magmom_total_mub_per_cell=0.0 relative_energy_ev_per_fu=0.00 delta_e_f_ev_per_fu=0.17 pbc="T T T"
La 0.000 0.000 0.000
La 1.062 1.822 6.063
La 2.136 3.684 3.006
La 4.267 3.670 6.057
La 5.340 5.532 3.000
Pr 1.057 5.515 6.055
Pr 2.137 7.388 2.998
Pr 4.265 -0.034 6.064
Pr 5.345 1.839 3.008
Sm -0.008 3.706 0.000
Sm 3.188 5.495 9.063
Sm 3.214 1.859 0.000


2.
6
Lattice="-1.771 3.048 10.024 1.771 -3.048 10.024 1.771 3.048 -10.024" Properties=species:S:1:pos:R:3 comment="LaPr3Sm2 (GGA-PBE, optimized geometry)" final_energy_ev_per_atom=-4.503 sg="Immm (71)" magmom_total_mub_per_cell=0.0 delta_e_f_ev_per_fu=1.69 pbc="T T T"
La 0.000 0.000 0.000
Pr 0.000 0.000 3.826
Pr 0.000 3.048 0.000
Pr 0.000 0.000 16.223
Sm 0.000 0.000 7.253
Sm 0.000 0.000 12.796


3.
16
Lattice="7.390 0.000 0.000 0.000 14.787 0.000 0.000 0.000 5.233" Properties=species:S:1:pos:R:3 comment="LaPr5Sm2 (GGA-PBE, optimized geometry)" final_energy_ev_per_atom=-4.770 sg="Pbam (55)" magmom_total_mub_per_cell=0.0 delta_e_f_ev_per_fu=0.10 pbc="T T T"
La 0.000 0.000 0.000
La 3.695 7.393 0.000
Pr 0.000 7.393 0.000
Pr 0.007 3.709 0.000
Pr 1.849 1.849 2.617
Pr 1.846 9.243 2.617
Pr 3.688 11.103 0.000
Pr 3.695 0.000 0.000
Pr 3.702 3.684 0.000
Pr 5.544 5.544 2.617
Pr 5.541 12.938 2.617
Pr 7.383 11.078 0.000
Sm 1.842 12.931 2.617
Sm 1.853 5.537 2.617
Sm 5.536 9.250 2.617
Sm 5.548 1.856 2.617